Record 1
Entry from Alexandria: a geometry-optimized Pm2ErGa3Ir4 structure (PBE).

Cell: 4.2490 4.2490 11.0762 Å, 90.00 90.00 90.00°
With the nearest neighbours (Å) after each atom.
Sites, in units of the cell vectors:
Ir  0.0000  0.0000  0.0000  4 Ga 2.50
Ir  0.5000  0.5000  0.0000  4 Ga 2.50
Ir  0.0000  0.5000  0.3451  3 Ga 2.51-2.73, 2 Er 2.73
Ir  0.5000  0.0000  0.6549  3 Ga 2.51-2.73, 2 Er 2.73
Ga  0.0000  0.0000  0.5000  4 Ir 2.73, 4 Er 3.00
Ga  0.5000  0.0000  0.8811  5 Ir 2.50-2.51
Ga  0.0000  0.5000  0.1189  5 Ir 2.50-2.51
Er  0.5000  0.5000  0.5000  4 Ir 2.73, 4 Ga 3.00
Pm  0.0000  0.5000  0.7776  4 Ga 3.22, 8 Ir 3.25-3.30
Pm  0.5000  0.0000  0.2224  4 Ga 3.22, 8 Ir 3.25-3.30

## Properties
energy relative to the elements: -0.720 eV per atom

Record 2
Entry from Alexandria: a geometry-optimized Pr2ErGa3Ir4 structure (PBE).

Cell: 4.2777 4.2777 11.0809 Å, 90.00 90.00 90.00°
With the nearest neighbours (Å) after each atom.
Sites, in units of the cell vectors:
Ga  0.0000  0.0000  0.5000  4 Ir 2.74, 4 Er 3.02
Ga  0.5000  0.0000  0.8821  5 Ir 2.51-2.53
Ga  0.0000  0.5000  0.1179  5 Ir 2.51-2.53
Pr  0.0000  0.5000  0.7758  4 Ga 3.25, 8 Ir 3.28-3.31
Pr  0.5000  0.0000  0.2242  4 Ga 3.25, 8 Ir 3.28-3.31
Ir  0.5000  0.5000  0.0000  4 Ga 2.51
Ir  0.0000  0.5000  0.3461  3 Ga 2.53-2.74, 2 Er 2.74
Ir  0.5000  0.0000  0.6539  3 Ga 2.53-2.74, 2 Er 2.74
Ir  0.0000  0.0000  0.0000  4 Ga 2.51
Er  0.5000  0.5000  0.5000  4 Ir 2.74, 4 Ga 3.02

## Properties
energy relative to the elements: -0.712 eV per atom

Record 3
Entry from Alexandria: a geometry-optimized ErGa4Ir2Rh structure (PBE).

Cell: 4.2496 4.2496 8.7785 Å, 75.99 75.99 60.00°
With the nearest neighbours (Å) after each atom.
Sites, in units of the cell vectors:
Ir  0.7615  0.7615  0.7156  7 Ga 2.58-2.72
Ir  0.2385  0.2385  0.2844  7 Ga 2.58-2.72
Ga  0.3969  0.3969  0.8093  3 Ir 2.58, 1 Rh 2.61
Ga  0.6031  0.6031  0.1907  3 Ir 2.58, 1 Rh 2.61
Ga  0.1309  0.1309  0.6072  3 Rh 2.61, 4 Ir 2.62-2.72
Ga  0.8691  0.8691  0.3928  3 Rh 2.61, 4 Ir 2.62-2.72
Rh  0.5000  0.5000  0.5000  8 Ga 2.61
Er  0.0000  0.0000  0.0000  6 Ga 2.93

## Properties
energy relative to the elements: -0.607 eV per atom

Record 4
Entry from Alexandria: a geometry-optimized ErGaIrRh structure (PBE).

Cell: 3.5605 4.2674 4.3785 Å, 90.00 90.00 90.00°
With the nearest neighbours (Å) after each atom.
Sites, in units of the cell vectors:
Rh  0.5000  0.5000  0.0000  4 Er 2.78, 4 Ga 2.82, 4 Ir 3.06
Er  0.0000  0.0000  0.0000  4 Rh 2.78, 4 Ir 2.82, 4 Ga 3.06
Ga  0.0000  0.5000  0.5000  4 Ir 2.78, 4 Rh 2.82, 4 Er 3.06
Ir  0.5000  0.0000  0.5000  4 Ga 2.78, 4 Er 2.82, 4 Rh 3.06

## Properties
E above lowest polymorph: 0 meV/atom
energy relative to the elements: -0.761 eV per atom

Record 5
Entry from Alexandria: a geometry-optimized Er2Ga4Ir3Rh structure (PBE).

Cell: 4.1960 4.1960 10.3091 Å, 90.00 90.00 90.00°
With the nearest neighbours (Å) after each atom.
Sites, in units of the cell vectors:
Ga  0.0000  0.5000  0.3728  3 Ir 2.44-2.47, 2 Rh 2.47
Ga  0.5000  0.5000  0.0000  4 Ir 2.53
Ga  0.5000  0.0000  0.6272  3 Ir 2.44-2.47, 2 Rh 2.47
Ga  0.0000  0.0000  0.0000  4 Ir 2.53
Ir  0.0000  0.5000  0.1364  5 Ga 2.44-2.53
Ir  0.0000  0.0000  0.5000  4 Ga 2.47
Ir  0.5000  0.0000  0.8636  5 Ga 2.44-2.53
Er  0.5000  0.0000  0.2648  8 Ga 3.17-3.44, 2 Rh 3.21, 6 Ir 3.21-3.25
Er  0.0000  0.5000  0.7352  8 Ga 3.17-3.44, 6 Ir 3.21-3.25, 2 Rh 3.21
Rh  0.5000  0.5000  0.5000  4 Ga 2.47

## Properties
energy relative to the elements: -0.728 eV per atom

Record 6
Entry from Alexandria: a geometry-optimized ErGaIrRh structure (PBE).

Cell: 4.5552 4.5552 4.5552 Å, 60.00 60.00 60.00°
With the nearest neighbours (Å) after each atom.
Sites, in units of the cell vectors:
Rh  0.5000  0.5000  0.5000  4 Ga 2.79, 4 Er 2.79
Er  0.7500  0.7500  0.7500  4 Ir 2.79, 4 Rh 2.79
Ga  0.2500  0.2500  0.2500  4 Ir 2.79, 4 Rh 2.79
Ir  0.0000  0.0000  0.0000  4 Er 2.79, 4 Ga 2.79

## Properties
E above lowest polymorph: 15 meV/atom
energy relative to the elements: -0.746 eV per atom

Record 7
Entry from Alexandria: a geometry-optimized ErGa4IrRu2 structure (PBE).

Cell: 4.2548 4.2548 8.7175 Å, 75.87 75.87 60.00°
With the nearest neighbours (Å) after each atom.
Sites, in units of the cell vectors:
Er  0.0000  0.0000  0.0000  8 Ga 2.94-3.27
Ga  0.6025  0.6025  0.1924  3 Ru 2.56, 1 Ir 2.57
Ga  0.1304  0.1304  0.6087  3 Ir 2.62, 4 Ru 2.63-2.76
Ga  0.8696  0.8696  0.3913  3 Ir 2.62, 4 Ru 2.63-2.76
Ga  0.3975  0.3975  0.8076  3 Ru 2.56, 1 Ir 2.57
Ir  0.5000  0.5000  0.5000  8 Ga 2.57-2.62
Ru  0.2406  0.2406  0.2782  7 Ga 2.56-2.76
Ru  0.7594  0.7594  0.7218  7 Ga 2.56-2.76

## Properties
energy relative to the elements: -0.439 eV per atom

Record 8
Entry from Alexandria: a geometry-optimized Er2GaSi3Ir4 structure (PBE).

Cell: 4.1223 4.1223 9.9983 Å, 90.00 90.00 90.00°
With the nearest neighbours (Å) after each atom.
Sites, in units of the cell vectors:
Ir  0.0000  0.5000  0.3628  3 Si 2.34-2.48, 2 Ga 2.48
Ir  0.0000  0.0000  0.0000  4 Si 2.43
Ir  0.5000  0.0000  0.6372  3 Si 2.34-2.48, 2 Ga 2.48
Ir  0.5000  0.5000  0.0000  4 Si 2.43
Si  0.5000  0.0000  0.8709  5 Ir 2.34-2.43
Si  0.0000  0.5000  0.1291  5 Ir 2.34-2.43
Si  0.0000  0.0000  0.5000  4 Ir 2.48
Ga  0.5000  0.5000  0.5000  4 Ir 2.48
Er  0.0000  0.5000  0.7497  8 Ir 3.12-3.24, 6 Si 3.16-3.24, 2 Ga 3.24
Er  0.5000  0.0000  0.2503  8 Ir 3.12-3.24, 6 Si 3.16-3.24, 2 Ga 3.24

## Properties
uncorrected formation energy: -983 meV per atom

Record 9
Entry from Alexandria: a geometry-optimized SmErGaIr structure (PBE).

Cell: 4.0341 4.2472 5.7474 Å, 90.00 110.55 90.00°
With the nearest neighbours (Å) after each atom.
Sites, in units of the cell vectors:
Sm  0.1453  0.0000  0.2906  3 Ir 3.01-3.11, 4 Ga 3.05
Er  0.8625  0.5000  0.7250  3 Ga 2.99-3.18, 4 Ir 3.00
Ga  0.5674  0.5000  0.1348  2 Ir 2.62
Ir  0.4248  0.0000  0.8497  2 Ga 2.62

## Properties
E above lowest polymorph: 0 meV/atom
energy relative to the elements: -0.717 eV per atom

Record 10
Entry from Alexandria: a geometry-optimized Sm2ErGa3Ir4 structure (PBE).

Cell: 4.2384 4.2384 11.0783 Å, 90.00 90.00 90.00°
With the nearest neighbours (Å) after each atom.
Sites, in units of the cell vectors:
Er  0.5000  0.5000  0.5000  4 Ir 2.73, 4 Ga 3.00
Sm  0.5000  0.0000  0.2217  4 Ga 3.20, 8 Ir 3.24-3.29
Sm  0.0000  0.5000  0.7783  4 Ga 3.20, 8 Ir 3.24-3.29
Ga  0.5000  0.0000  0.8807  5 Ir 2.50
Ga  0.0000  0.0000  0.5000  4 Ir 2.73, 4 Er 3.00
Ga  0.0000  0.5000  0.1193  5 Ir 2.50
Ir  0.5000  0.0000  0.6552  3 Ga 2.50-2.73, 2 Er 2.73
Ir  0.0000  0.0000  0.0000  4 Ga 2.50
Ir  0.5000  0.5000  0.0000  4 Ga 2.50
Ir  0.0000  0.5000  0.3448  3 Ga 2.50-2.73, 2 Er 2.73

## Properties
energy relative to the elements: -0.720 eV per atom

Record 11
Entry from Alexandria: a geometry-optimized SmErGaIr structure (PBE).

Cell: 4.9892 4.9892 4.9892 Å, 60.00 60.00 60.00°
With the nearest neighbours (Å) after each atom.
Sites, in units of the cell vectors:
Ir  0.5000  0.5000  0.5000  4 Er 3.06, 4 Sm 3.06
Ga  0.0000  0.0000  0.0000  4 Er 3.06, 4 Sm 3.06
Er  0.7500  0.7500  0.7500  4 Ir 3.06, 4 Ga 3.06
Sm  0.2500  0.2500  0.2500  4 Ir 3.06, 4 Ga 3.06

## Properties
E above lowest polymorph: 82 meV/atom
energy relative to the elements: -0.635 eV per atom

Record 12
Entry from Alexandria: a geometry-optimized Er2TaGa3Ir4 structure (PBE).

Cell: 4.1700 4.1700 10.7237 Å, 90.00 90.00 90.00°
With the nearest neighbours (Å) after each atom.
Sites, in units of the cell vectors:
Ga  0.0000  0.5000  0.1278  5 Ir 2.48-2.49
Ga  0.5000  0.0000  0.8722  5 Ir 2.48-2.49
Ga  0.0000  0.0000  0.5000  4 Ir 2.57
Ir  0.5000  0.5000  0.0000  4 Ga 2.49
Ir  0.0000  0.0000  0.0000  4 Ga 2.49
Ir  0.0000  0.5000  0.3592  3 Ga 2.48-2.57, 2 Ta 2.57
Ir  0.5000  0.0000  0.6408  3 Ga 2.48-2.57, 2 Ta 2.57
Er  0.5000  0.0000  0.2226  4 Ga 3.12, 8 Ir 3.17-3.29
Er  0.0000  0.5000  0.7774  4 Ga 3.12, 8 Ir 3.17-3.29
Ta  0.5000  0.5000  0.5000  4 Ir 2.57

## Properties
energy relative to the elements: -0.684 eV per atom

Q: Which formula does entry 8 have?
A: Er2GaSi3Ir4